1.
The following is a PBE calculation of crystalline Sb2PtSe at its relaxed geometry, from the Alexandria database.

Total energy   -4.638 eV/atom
Density   9.40 g cm⁻³
Formation energy from raw total energies   -195 meV/atom

a = 4.364 Å, b = 6.761 Å, c = 5.631 Å
α = 33.41°, β = 90.00°, γ = 90.00°
Fractional positions:
Pt  0.000  0.000  0.500
Sb  0.000  0.000  0.000
Sb  0.500  0.500  0.000
Se  0.500  0.500  0.500

2.
The following is a PBE calculation of crystalline Y3Ho8Th4 at its relaxed geometry, from the Alexandria database.

Total energy   -5.270 eV/atom
Density   8.40 g cm⁻³
ΔH_f (0 K)   443 meV per atom

a = 11.639 Å, b = 9.280 Å, c = 9.280 Å
α = 87.92°, β = 128.68°, γ = 128.68°
Fractional positions:
Y  0.500  0.500  0.000
Y  0.500  0.000  0.500
Y  0.500  0.500  0.500
Ho  0.500  0.242  0.242
Ho  0.000  0.638  0.362
Ho  0.009  0.271  0.271
Ho  0.500  0.751  0.249
Ho  0.500  0.249  0.751
Ho  0.991  0.729  0.729
Ho  0.000  0.362  0.638
Ho  0.500  0.758  0.758
Th  0.500  0.000  0.000
Th  0.000  0.500  0.000
Th  0.000  0.000  0.000
Th  0.000  0.000  0.500

3.
The following is a PBE calculation of crystalline TlFe2NCl at its relaxed geometry, from the Alexandria database.

Total energy   -4.496 eV/atom
Density   7.23 g cm⁻³
Formation energy from raw total energies   1397 meV/atom

a = 4.251 Å, b = 4.647 Å, c = 4.251 Å
α = 90.00°, β = 90.00°, γ = 90.00°
Each line ends with the local moment (μB).
Fractional positions:
Tl  0.500  0.500  0.500  0.00
N  0.000  0.500  0.000  0.65
Fe  0.000  0.000  0.500  2.28
Fe  0.500  0.000  0.000  2.82
Cl  0.000  0.000  0.000  0.06

4.
The following is a PBE calculation of crystalline RbUI6 at its relaxed geometry, from the Alexandria database.

Total energy   -3.646 eV/atom
Density   4.19 g cm⁻³
Excess energy over the best structure of this formula in the dataset   0 kJ/mol of formula units
Formation energy from raw total energies   -951 meV/atom

a = 7.930 Å, b = 7.930 Å, c = 7.600 Å
α = 99.35°, β = 99.35°, γ = 110.37°
Each line ends with the local moment (μB).
Fractional positions:
Rb  0.000  0.000  0.000  0.00
U  0.500  0.500  0.500  1.35
I  0.486  0.806  0.764  -0.05
I  0.806  0.486  0.764  -0.05
I  0.194  0.514  0.236  -0.05
I  0.514  0.194  0.236  -0.05
I  0.233  0.233  0.645  -0.05
I  0.767  0.767  0.355  -0.05

5.
The following is a PBE calculation of crystalline Ga2HAu at its relaxed geometry, from the Alexandria database.

Total energy   -3.035 eV/atom
Density   8.25 g cm⁻³
Excess energy over the best structure of this formula in the dataset   47 kJ/mol of formula units

a = 4.702 Å, b = 4.702 Å, c = 6.985 Å
α = 70.33°, β = 70.33°, γ = 90.00°
Fractional positions:
H  0.500  0.500  0.000
H  0.250  0.750  0.500
Au  0.000  0.000  0.000
Au  0.750  0.250  0.500
Ga  0.512  0.125  0.250
Ga  0.238  0.625  0.250
Ga  0.375  0.488  0.750
Ga  0.875  0.762  0.750

6.
The following is a PBE calculation of crystalline MgAsOs at its relaxed geometry, from the Alexandria database.

Total energy   -5.510 eV/atom
Density   9.37 g cm⁻³
ΔH_f (0 K)   315 meV per atom

a = 6.981 Å, b = 6.694 Å, c = 2.967 Å
α = 82.96°, β = 72.10°, γ = 24.95°
Fractional positions:
As  0.015  0.015  0.985
Mg  0.326  0.326  0.674
Os  0.659  0.659  0.341